# 1
The following is a DFT calculation (SCAN) of YIn2HgAu at its PBEsol-relaxed geometry.

N(E_F), states/eV per atom: 0.589
E_form, meV/atom: 264

Cell: 5.165 5.165 5.640 Å, 90.00 90.00 90.00°
Space group P4/mmm (No. 123)
Asymmetric unit:
Y  0.000  0.000  0.000 (multiplicity 1)
In  0.000  0.500  0.500 (multiplicity 2)
Hg  0.000  0.000  0.500 (multiplicity 1)
Au  0.500  0.500  0.000 (multiplicity 1)


# 2
The following is a DFT calculation (SCAN) of MgPt2Rh at its PBEsol-relaxed geometry.

N(E_F), states/eV per atom: 0.848
E_form, meV/atom: -481

Cell: 9.144 2.766 4.732 Å, 90.00 99.89 90.00°
Space group Cm (No. 8)
Asymmetric unit:
Mg  0.000  0.000  0.000 (multiplicity 2)
Pt  0.251  0.000  0.761 (multiplicity 2)
Pt  0.498  0.000  0.494 (multiplicity 2)
Rh  0.250  0.500  0.267 (multiplicity 2)


# 3
The following is a DFT calculation (SCAN) of ZrBSb2 at its PBEsol-relaxed geometry.

N(E_F), states/eV per atom: 0.491
Uncorrected formation energy, eV per atom: 0.299

Cell: 6.938 6.938 6.628 Å, 90.00 90.00 90.00°
Space group I-42d (No. 122)
Asymmetric unit:
Zr  0.000  0.000  0.000 (multiplicity 4)
B  0.000  0.000  0.500 (multiplicity 4)
Sb  0.172  0.750  0.625 (multiplicity 8)